Record 1
{
  "formula": "Cu2O2F",
  "functional": "GGA-PBE",
  "state": "relaxed",
  "cell": [[4.855, -0.449, 2.719], [2.324, 3.966, 0.423], [0.805, -1.156, 6.510]],
  "species": ["Cu", "Cu", "Cu", "Cu", "O", "O", "O", "O", "F", "F"],
  "frac_coords": [[0.349, 0.832, 0.975], [0.652, 0.181, 0.525], [0.651, 0.168, 0.025], [0.348, 0.819, 0.475], [0.648, 0.360, 0.271], [0.649, 0.991, 0.771], [0.351, 0.009, 0.229], [0.352, 0.640, 0.729], [0.999, 0.742, 0.250], [0.001, 0.258, 0.750]],
  "e_form_raw_mev_per_atom": -777.3,
  "crystal_system": "triclinic",
  "mass_density_g_cm3": 5.00,
  "spacegroup": "No. 2",
  "volume_a3_per_cell": 118.4,
  "e_tot_ev_per_fu": -23.867
}


Record 2
{
  "formula": "CuOF2",
  "functional": "GGA-PBE",
  "state": "relaxed",
  "cell": [[1.799, 0.000, 6.917], [-0.900, 1.558, 6.917], [-0.900, -1.558, 6.917]],
  "species": ["O", "Cu", "F", "F"],
  "frac_coords": [[0.000, 0.000, 0.000], [0.500, 0.500, 0.500], [0.880, 0.880, 0.880], [0.120, 0.120, 0.120]],
  "e_form_raw_mev_per_atom": -356.1,
  "crystal_system": "trigonal",
  "mass_density_g_cm3": 3.36,
  "spacegroup": "No. 166",
  "volume_a3_per_cell": 58.2,
  "e_tot_ev_per_fu": -14.221
}


Record 3
{
  "formula": "CuOF2",
  "functional": "GGA-PBE",
  "state": "relaxed",
  "cell": [[0.000, 2.697, 2.697], [2.697, 0.000, 2.697], [2.697, 2.697, 0.000]],
  "species": ["O", "Cu", "F", "F"],
  "frac_coords": [[0.000, 0.000, 0.000], [0.500, 0.500, 0.500], [0.250, 0.250, 0.250], [0.750, 0.750, 0.750]],
  "e_form_raw_mev_per_atom": -72.6,
  "crystal_system": "cubic",
  "mass_density_g_cm3": 4.98,
  "spacegroup": "No. 225",
  "volume_a3_per_cell": 39.2,
  "e_tot_ev_per_fu": -13.088
}